VASP calculation (PBE) on a relaxed K2Cu2Br5 crystal.

Properties
Formation energy (no corrections) = -795 kJ/mol of formula units
Symmetry = Amm2 (38)
Fermi-level density of states = 0.382 states/eV/atom
E = -2.999 eV per atom
Excess energy over the best structure of this formula in the dataset = 15 meV/atom
Crystal system = orthorhombic

Cell lengths 10.596, 5.017, 5.017 Å; angles 89.99, 90.00, 90.00 degrees
Element x y z (fractional)
K 0.000 0.000 0.000
K 0.500 0.001 0.001
Cu 0.246 0.502 0.502
Cu 0.754 0.502 0.502
Br 0.000 0.500 0.500
Br 0.286 0.001 0.501
Br 0.286 0.501 0.001
Br 0.714 0.001 0.501
Br 0.714 0.501 0.001